[1]
# Pr5Ge2O (PBE, relaxed)
# E_form (uncorrected): -0.872 eV per atom
# VASP energy: -5.63 eV/atom
# M_tot: 0.0 μB/cell
# density of states at the Fermi level: 29.7 states/eV per cell
data_Pr5Ge2O
_cell_length_a 5.8428
_cell_length_b 12.3125
_cell_length_c 13.2972
_cell_angle_alpha 90.00
_cell_angle_beta 90.00
_cell_angle_gamma 90.00
_symmetry_space_group_name_H-M 'C m c m'
_symmetry_Int_Tables_number 63
_symmetry_space_group_name_Hall '-C 2c 2'
loop_
_atom_site_label
_atom_site_fract_x
_atom_site_fract_y
_atom_site_fract_z
_atom_site_occupancy
Pr1 0.0000 0.0566 0.1294 1
Pr2 0.0000 0.2939 0.7500 1
Pr3 0.0000 0.3451 0.1005 1
Ge1 0.0000 0.1745 0.5634 1
O1 0.0000 0.2223 0.2500 1

[2]
# BaPuAs2 (PBE, relaxed)
# VASP energy: -7.30 eV/atom
# M_tot: 11.9 μB/cell
# density of states at the Fermi level: 40.2 states/eV per cell
# ΔH_f (0 K): -0.9145 eV per atom
data_BaPuAs2
_cell_length_a 4.3252
_cell_length_b 4.3252
_cell_length_c 22.7084
_cell_angle_alpha 90.00
_cell_angle_beta 90.00
_cell_angle_gamma 120.00
_symmetry_space_group_name_H-M 'R 3 m'
_symmetry_Int_Tables_number 160
_symmetry_space_group_name_Hall 'R 3 -2"'
loop_
_atom_site_label
_atom_site_fract_x
_atom_site_fract_y
_atom_site_fract_z
_atom_site_occupancy
Ba1 0.0000 0.0000 0.0000 1
Pu1 0.0000 0.0000 0.1703 1
As1 0.0000 0.0000 0.5699 1
As2 0.0000 0.0000 0.7697 1

[3]
# Zr2OsCl (PBE, relaxed)
# E_form (uncorrected): -0.154 eV per atom
# VASP energy: -7.70 eV/atom
# M_tot: 0.0 μB/cell
# density of states at the Fermi level: 9.6 states/eV per cell
data_Zr2OsCl
_cell_length_a 3.2527
_cell_length_b 3.2527
_cell_length_c 29.3584
_cell_angle_alpha 90.00
_cell_angle_beta 90.00
_cell_angle_gamma 120.00
_symmetry_space_group_name_H-M 'R 3 m'
_symmetry_Int_Tables_number 160
_symmetry_space_group_name_Hall 'R 3 -2"'
loop_
_atom_site_label
_atom_site_fract_x
_atom_site_fract_y
_atom_site_fract_z
_atom_site_occupancy
Zr1 0.0000 0.0000 0.0000 1
Zr2 0.0000 0.0000 0.2398 1
Os1 0.0000 0.0000 0.5117 1
Cl1 0.0000 0.0000 0.7285 1

[4]
# CuSnN (PBE, relaxed)
# E_form (uncorrected): 0.282 eV per atom
# VASP energy: -5.19 eV/atom
# M_tot: 0.0 μB/cell
data_CuSnN
_cell_length_a 3.3630
_cell_length_b 3.3630
_cell_length_c 15.9607
_cell_angle_alpha 90.00
_cell_angle_beta 90.00
_cell_angle_gamma 120.00
_symmetry_space_group_name_H-M 'R 3 m'
_symmetry_Int_Tables_number 160
_symmetry_space_group_name_Hall 'R 3 -2"'
loop_
_atom_site_label
_atom_site_fract_x
_atom_site_fract_y
_atom_site_fract_z
_atom_site_occupancy
Cu1 0.0000 0.0000 0.0000 1
Sn1 0.0000 0.0000 0.8443 1
N1 0.0000 0.0000 0.1186 1

[5]
# HfAsSBr2 (PBE, relaxed)
# E_form (uncorrected): 0.014 eV per atom
# VASP energy: -4.40 eV/atom
# M_tot: 0.0 μB/cell
# density of states at the Fermi level: 6.2 states/eV per cell
data_HfAsSBr2
_cell_length_a 5.0633
_cell_length_b 5.0633
_cell_length_c 5.4865
_cell_angle_alpha 90.00
_cell_angle_beta 90.00
_cell_angle_gamma 90.00
_symmetry_space_group_name_H-M 'P 4/m m m'
_symmetry_Int_Tables_number 123
_symmetry_space_group_name_Hall '-P 4 2'
loop_
_atom_site_label
_atom_site_fract_x
_atom_site_fract_y
_atom_site_fract_z
_atom_site_occupancy
Hf1 0.0000 0.0000 0.0000 1
As1 0.0000 0.0000 0.5000 1
S1 0.5000 0.5000 0.5000 1
Br1 0.0000 0.5000 0.0000 1

[6]
# NaMnCr (PBE, relaxed)
# VASP energy: -6.20 eV/atom
# M_tot: 1.0 μB/cell
# density of states at the Fermi level: 5.9 states/eV per cell
# ΔH_f (0 K): 0.5075 eV per atom
data_NaMnCr
_cell_length_a 2.6736
_cell_length_b 2.6741
_cell_length_c 14.2283
_cell_angle_alpha 89.12
_cell_angle_beta 89.19
_cell_angle_gamma 68.56
_symmetry_space_group_name_H-M 'P 1'
_symmetry_Int_Tables_number 1
_symmetry_space_group_name_Hall 'P 1'
loop_
_atom_site_label
_atom_site_fract_x
_atom_site_fract_y
_atom_site_fract_z
_atom_site_occupancy
Na1 0.0000 0.0000 0.0000 1
Na2 0.4719 0.4640 0.7684 1
Mn1 0.4944 0.4976 0.4477 1
Mn2 0.9905 0.9919 0.5782 1
Cr1 0.0003 0.0036 0.3119 1
Cr2 0.5061 0.5105 0.1900 1

[7]
# MgSiOs (PBE, relaxed)
# E_form (uncorrected): -0.206 eV per atom
# VASP energy: -6.29 eV/atom
# M_tot: 0.0 μB/cell
# density of states at the Fermi level: 4.1 states/eV per cell
data_MgSiOs
_cell_length_a 5.9442
_cell_length_b 7.4489
_cell_length_c 4.7111
_cell_angle_alpha 90.00
_cell_angle_beta 90.00
_cell_angle_gamma 90.00
_symmetry_space_group_name_H-M 'C m m m'
_symmetry_Int_Tables_number 65
_symmetry_space_group_name_Hall '-C 2 2'
loop_
_atom_site_label
_atom_site_fract_x
_atom_site_fract_y
_atom_site_fract_z
_atom_site_occupancy
Mg1 0.2500 0.2500 0.0000 1
Si1 0.1993 0.0000 0.5000 1
Os1 0.0000 0.2836 0.5000 1

[8]
# CaPuAg2 (PBE, relaxed)
# VASP energy: -5.60 eV/atom
# M_tot: 6.1 μB/cell
# density of states at the Fermi level: 9.3 states/eV per cell
# ΔH_f (0 K): -0.0901 eV per atom
data_CaPuAg2
_cell_length_a 3.5057
_cell_length_b 3.5057
_cell_length_c 8.0511
_cell_angle_alpha 90.00
_cell_angle_beta 90.00
_cell_angle_gamma 90.00
_symmetry_space_group_name_H-M 'P 4/m m m'
_symmetry_Int_Tables_number 123
_symmetry_space_group_name_Hall '-P 4 2'
loop_
_atom_site_label
_atom_site_fract_x
_atom_site_fract_y
_atom_site_fract_z
_atom_site_occupancy
Ca1 0.0000 0.0000 0.0000 1
Pu1 0.0000 0.0000 0.5000 1
Ag1 0.5000 0.5000 0.2463 1

[9]
# TlCr2Ir (PBE, relaxed)
# VASP energy: -7.09 eV/atom
# M_tot: 0.0 μB/cell
# density of states at the Fermi level: 12.2 states/eV per cell
# ΔH_f (0 K): 0.5242 eV per atom
data_TlCr2Ir
_cell_length_a 2.9320
_cell_length_b 2.9320
_cell_length_c 25.3070
_cell_angle_alpha 90.00
_cell_angle_beta 90.00
_cell_angle_gamma 120.00
_symmetry_space_group_name_H-M 'R 3 m'
_symmetry_Int_Tables_number 160
_symmetry_space_group_name_Hall 'R 3 -2"'
loop_
_atom_site_label
_atom_site_fract_x
_atom_site_fract_y
_atom_site_fract_z
_atom_site_occupancy
Tl1 0.0000 0.0000 0.0000 1
Cr1 0.0000 0.0000 0.2360 1
Cr2 0.0000 0.0000 0.5083 1
Ir1 0.0000 0.0000 0.7632 1

[10]
# Os2AuSe (PBE, relaxed)
# E_form (uncorrected): 0.721 eV per atom
# VASP energy: -6.58 eV/atom
# M_tot: 0.0 μB/cell
# density of states at the Fermi level: 5.4 states/eV per cell
data_Os2AuSe
_cell_length_a 7.9338
_cell_length_b 2.9454
_cell_length_c 5.6817
_cell_angle_alpha 90.00
_cell_angle_beta 100.33
_cell_angle_gamma 90.00
_symmetry_space_group_name_H-M 'C 1 2/m 1'
_symmetry_Int_Tables_number 12
_symmetry_space_group_name_Hall '-C 2y'
loop_
_atom_site_label
_atom_site_fract_x
_atom_site_fract_y
_atom_site_fract_z
_atom_site_occupancy
Os1 0.2474 0.0000 0.2048 1
Au1 0.0000 0.0000 0.5000 1
Se1 0.0000 0.5000 0.0000 1

Q: Look up the M_tot of the third one.
A: 0.0 μB/cell

Q: Look up the M_tot of the tenth one.
A: 0.0 μB/cell

Q: Which formula does entry 2 have?
A: BaPuAs2

Please write out number 9 again, unchanged.
# TlCr2Ir (PBE, relaxed)
# VASP energy: -7.09 eV/atom
# M_tot: 0.0 μB/cell
# density of states at the Fermi level: 12.2 states/eV per cell
# ΔH_f (0 K): 0.5242 eV per atom
data_TlCr2Ir
_cell_length_a 2.9320
_cell_length_b 2.9320
_cell_length_c 25.3070
_cell_angle_alpha 90.00
_cell_angle_beta 90.00
_cell_angle_gamma 120.00
_symmetry_space_group_name_H-M 'R 3 m'
_symmetry_Int_Tables_number 160
_symmetry_space_group_name_Hall 'R 3 -2"'
loop_
_atom_site_label
_atom_site_fract_x
_atom_site_fract_y
_atom_site_fract_z
_atom_site_occupancy
Tl1 0.0000 0.0000 0.0000 1
Cr1 0.0000 0.0000 0.2360 1
Cr2 0.0000 0.0000 0.5083 1
Ir1 0.0000 0.0000 0.7632 1